Entry 1:
The following is a PBE calculation of a geometry-optimized TlCuRh2 structure, from Alexandria.

Lattice parameters (Å, degrees): 4.4836 4.4836 4.4836 60.00 60.00 60.00
Each line ends with the local moment (μB).
Element x y z (fractional)
1 Rh 0.2500 0.2500 0.2500  0.55
2 Tl 0.7500 0.7500 0.7500  -0.01
3 Rh 0.0000 0.0000 0.0000  0.45
4 Cu 0.5000 0.5000 0.5000  0.02

Results
Total magnetic moment in μB/atom: 0.2599
E_form in meV/atom: 237
Final energy in eV per atom: -5.054

***

Entry 2:
The following is a PBE calculation of a geometry-optimized HfFeGe2 structure, from Alexandria.

Lattice parameters (Å, degrees): 7.9342 9.0997 10.1293 90.00 90.00 90.00
Element x y z (fractional)
1 Fe 0.2499 0.9092 0.7557
2 Fe 0.7453 0.5000 0.0000
3 Ge 0.0000 0.3764 0.9006
4 Hf 0.7419 0.8244 0.0495
5 Ge 0.1567 0.8412 0.3196
6 Ge 0.1567 0.6588 0.8196
7 Ge 0.5000 0.6254 0.1031
8 Hf 0.5000 0.1658 0.6795
9 Ge 0.5000 0.1254 0.3969
10 Hf 0.7419 0.1756 0.9505
11 Fe 0.7501 0.9092 0.7557
12 Ge 0.5000 0.4600 0.6200
13 Ge 0.1567 0.3412 0.1804
14 Ge 0.5000 0.9600 0.8800
15 Fe 0.7501 0.4092 0.7443
16 Ge 0.1567 0.1588 0.6804
17 Hf 0.2581 0.8244 0.0495
18 Hf 0.5000 0.6658 0.8205
19 Fe 0.7501 0.5908 0.2557
20 Fe 0.7501 0.0908 0.2443
21 Hf 0.5000 0.8342 0.3205
22 Ge 0.8433 0.6588 0.8196
23 Ge 0.0000 0.8764 0.5994
24 Ge 0.5000 0.8746 0.6031
25 Hf 0.2581 0.6756 0.5495
26 Ge 0.8433 0.1588 0.6804
27 Ge 0.0000 0.4561 0.6211
28 Ge 0.0000 0.0439 0.1211
29 Ge 0.0000 0.1236 0.4006
30 Fe 0.7453 0.0000 0.5000
31 Fe 0.2547 0.0000 0.5000
32 Fe 0.2499 0.5908 0.2557
33 Ge 0.5000 0.3746 0.8969
34 Hf 0.5000 0.3342 0.1795
35 Ge 0.5000 0.0400 0.1200
36 Ge 0.0000 0.5439 0.3789
37 Hf 0.7419 0.3244 0.4505
38 Hf 0.7419 0.6756 0.5495
39 Ge 0.5000 0.5400 0.3800
40 Ge 0.8433 0.8412 0.3196
41 Hf 0.2581 0.3244 0.4505
42 Fe 0.2499 0.0908 0.2443
43 Ge 0.0000 0.6236 0.0994
44 Ge 0.8433 0.3412 0.1804
45 Hf 0.2581 0.1756 0.9505
46 Fe 0.2547 0.5000 0.0000
47 Ge 0.0000 0.9561 0.8789
48 Fe 0.2499 0.4092 0.7443

Results
Total magnetic moment in μB/atom: 0.0012
E_form in meV/atom: -461
Final energy in eV per atom: -7.374